! CaZrAu | Alexandria | PBEsol | relaxed; values from VASP
&SYSTEM
  ibrav = 0, nat = 3, ntyp = 3
/
ATOMIC_SPECIES
Ca 40.08 Ca.upf
Zr 91.22 Zr.upf
Au 196.97 Au.upf
ATOMIC_POSITIONS crystal
Ca 0.0000 0.0000 0.0000
Zr 0.5000 0.5000 0.5000
Au 0.7500 0.7500 0.7500
CELL_PARAMETERS angstrom
0.0000 3.3641 3.3641
3.3641 0.0000 3.3641
3.3641 3.3641 0.0000
! polymorph energy (0 for the lowest one)	0.00	kJ per mole of atoms
! energy of formation from the pure elements	-0.05	eV per atom